# MgBeRe2, PBEsol geometry, DFT SCAN
# Calculated volume, Å³ per cell: 112
# Excess energy over the best structure of this formula in the dataset, meV per atom: 316
# ΔH_f (0 K), eV per formula unit: 1.229
data_MgBeRe2
_cell_length_a 3.6450
_cell_length_b 3.6450
_cell_length_c 8.4065
_cell_angle_alpha 90.00
_cell_angle_beta 90.00
_cell_angle_gamma 90.00
_space_group_name_H-M_alt 'I 4/m m m'
_space_group_IT_number 139
_space_group_name_Hall '-I 4 2'
loop_
_atom_site_label
_atom_site_fract_x
_atom_site_fract_y
_atom_site_fract_z
_atom_site_occupancy
Mg1 0.0000 0.0000 0.0000 1
Be1 0.0000 0.0000 0.5000 1
Re1 0.0000 0.5000 0.2500 1

---

# ZnInMo2, PBEsol geometry, DFT SCAN
# Calculated volume, Å³ per cell: 256
# Excess energy over the best structure of this formula in the dataset, meV per atom: 117
# ΔH_f (0 K), eV per formula unit: 1.221
data_ZnInMo2
_cell_length_a 6.3522
_cell_length_b 6.3522
_cell_length_c 6.3522
_cell_angle_alpha 90.00
_cell_angle_beta 90.00
_cell_angle_gamma 90.00
_space_group_name_H-M_alt 'F -4 3 m'
_space_group_IT_number 216
_space_group_name_Hall 'F -4 2 3'
loop_
_atom_site_label
_atom_site_fract_x
_atom_site_fract_y
_atom_site_fract_z
_atom_site_occupancy
Zn1 0.0000 0.0000 0.0000 1
In1 0.2500 0.2500 0.2500 1
Mo1 0.0000 0.0000 0.5000 1
Mo2 0.2500 0.2500 0.7500 1

---

# SbTe2AsPb, PBEsol geometry, DFT SCAN
# Calculated volume, Å³ per cell: 181
# Raw formation energy, eV per formula unit: 5.618
data_SbTe2AsPb
_cell_length_a 5.6685
_cell_length_b 5.6685
_cell_length_c 5.6271
_cell_angle_alpha 90.00
_cell_angle_beta 90.00
_cell_angle_gamma 90.00
_space_group_name_H-M_alt 'P 4/m m m'
_space_group_IT_number 123
_space_group_name_Hall '-P 4 2'
loop_
_atom_site_label
_atom_site_fract_x
_atom_site_fract_y
_atom_site_fract_z
_atom_site_occupancy
Sb1 0.0000 0.0000 0.0000 1
Te1 0.0000 0.5000 0.5000 1
As1 0.5000 0.5000 0.0000 1
Pb1 0.0000 0.0000 0.5000 1

---

# Sc2BeBiPb, PBEsol geometry, DFT SCAN
# Calculated volume, Å³ per cell: 112
# ΔH_f (0 K), eV per formula unit: -0.369
data_Sc2BeBiPb
_cell_length_a 4.9773
_cell_length_b 4.9773
_cell_length_c 4.5278
_cell_angle_alpha 90.00
_cell_angle_beta 90.00
_cell_angle_gamma 90.00
_space_group_name_H-M_alt 'P 4/m m m'
_space_group_IT_number 123
_space_group_name_Hall '-P 4 2'
loop_
_atom_site_label
_atom_site_fract_x
_atom_site_fract_y
_atom_site_fract_z
_atom_site_occupancy
Sc1 0.0000 0.5000 0.0000 1
Be1 0.0000 0.0000 0.0000 1
Bi1 0.5000 0.5000 0.5000 1
Pb1 0.0000 0.0000 0.5000 1

---

# ZrAlF2, PBEsol geometry, DFT SCAN
# Calculated volume, Å³ per cell: 219
# Excess energy over the best structure of this formula in the dataset, meV per atom: 818
# Raw formation energy, eV per formula unit: -4.827
data_ZrAlF2
_cell_length_a 6.0241
_cell_length_b 6.0241
_cell_length_c 6.0241
_cell_angle_alpha 90.00
_cell_angle_beta 90.00
_cell_angle_gamma 90.00
_space_group_name_H-M_alt 'F m -3 m'
_space_group_IT_number 225
_space_group_name_Hall '-F 4 2 3'
loop_
_atom_site_label
_atom_site_fract_x
_atom_site_fract_y
_atom_site_fract_z
_atom_site_occupancy
Zr1 0.0000 0.0000 0.0000 1
Al1 0.0000 0.0000 0.5000 1
F1 0.2500 0.2500 0.2500 1

---

# YCoSe2, PBEsol geometry, DFT SCAN
# Calculated volume, Å³ per cell: 392
# Raw formation energy, eV per formula unit: -3.843
data_YCoSe2
_cell_length_a 5.6063
_cell_length_b 5.6063
_cell_length_c 12.4645
_cell_angle_alpha 90.00
_cell_angle_beta 90.00
_cell_angle_gamma 90.00
_space_group_name_H-M_alt 'I -4 2 d'
_space_group_IT_number 122
_space_group_name_Hall 'I -4 2bw'
loop_
_atom_site_label
_atom_site_fract_x
_atom_site_fract_y
_atom_site_fract_z
_atom_site_occupancy
Y1 0.0000 0.0000 0.0000 1
Co1 0.0000 0.0000 0.5000 1
Se1 0.1911 0.2500 0.6250 1